# PBE Be3P, optimized geometry
# * ΔH_f (0 K): 0.47 eV/atom
# * energy above the lowest structure with this stoichiometry: 263 meV/atom
# * magnetic moment: 0.000 μB/atom
# * energy: -3.676 eV per atom
data_Be3P
_chemical_formula_sum 'Be9 P3'
_cell_length_a 7.7149
_cell_length_b 7.7149
_cell_length_c 2.3134
_cell_angle_alpha 90.00
_cell_angle_beta 90.00
_cell_angle_gamma 120.00
_space_group_name_H-M_alt 'R -3 m'
_space_group_IT_number 166
_space_group_name_Hall '-R 3 2"'
loop_
_atom_site_label
_atom_site_type_symbol
_atom_site_fract_x
_atom_site_fract_y
_atom_site_fract_z
Be1 Be 0.0000 0.5000 0.0000
P1 P 0.0000 0.0000 0.0000



# PBE ScInIr, optimized geometry
# * ΔH_f (0 K): -0.54 eV/atom
# * magnetic moment: 0.000 μB/atom
# * energy: -6.520 eV per atom
data_ScInIr
_chemical_formula_sum 'Sc4 In4 Ir4'
_cell_length_a 6.396
_cell_length_b 6.396
_cell_length_c 6.396
_cell_angle_alpha 90.00
_cell_angle_beta 90.00
_cell_angle_gamma 90.00
_space_group_name_H-M_alt 'F -4 3 m'
_space_group_IT_number 216
_space_group_name_Hall 'F -4 2 3'
loop_
_atom_site_label
_atom_site_type_symbol
_atom_site_fract_x
_atom_site_fract_y
_atom_site_fract_z
Sc1 Sc 0.000 0.000 0.000
In1 In 0.000 0.000 0.500
Ir1 Ir 0.250 0.250 0.250



# PBE AlRh2Pb, optimized geometry
# * ΔH_f (0 K): -0.31 eV/atom
# * magnetic moment: 0.000 μB/atom
# * energy: -5.847 eV per atom
data_AlRh2Pb
_chemical_formula_sum 'Al1 Rh2 Pb1'
_cell_length_a 4.337
_cell_length_b 4.337
_cell_length_c 3.503
_cell_angle_alpha 90.00
_cell_angle_beta 90.00
_cell_angle_gamma 90.00
_space_group_name_H-M_alt 'P 4/m m m'
_space_group_IT_number 123
_space_group_name_Hall '-P 4 2'
loop_
_atom_site_label
_atom_site_type_symbol
_atom_site_fract_x
_atom_site_fract_y
_atom_site_fract_z
Al1 Al 0.000 0.000 0.000
Rh1 Rh 0.000 0.500 0.500
Pb1 Pb 0.500 0.500 0.000



# PBE YLuCuRh, optimized geometry
# * ΔH_f (0 K): -0.59 eV/atom
# * magnetic moment: 0.000 μB/atom
# * energy: -6.202 eV per atom
data_YLuCuRh
_chemical_formula_sum 'Y4 Lu4 Cu4 Rh4'
_cell_length_a 6.845
_cell_length_b 6.845
_cell_length_c 6.845
_cell_angle_alpha 90.00
_cell_angle_beta 90.00
_cell_angle_gamma 90.00
_space_group_name_H-M_alt 'F -4 3 m'
_space_group_IT_number 216
_space_group_name_Hall 'F -4 2 3'
loop_
_atom_site_label
_atom_site_type_symbol
_atom_site_fract_x
_atom_site_fract_y
_atom_site_fract_z
Y1 Y 0.000 0.000 0.000
Lu1 Lu 0.000 0.000 0.500
Cu1 Cu 0.250 0.250 0.250
Rh1 Rh 0.250 0.250 0.750



Number 4 is which compound? YLuCuRh



Number 1 is which compound? Be3P



Which value of magnetic moment does entry 1 give? 0.000 μB/atom